1.
{
  "formula": "Ba6SiH2",
  "functional": "PBE",
  "state": "relaxed",
  "e_tot_ev_per_cell": -25.43,
  "magmom_total_mub_per_atom": 0.121,
  "cell": [[4.7774, 0.0000, 0.0000], [2.3887, 7.5817, -0.3550], [2.3887, 2.8425, 11.1350]],
  "species": ["Ba", "Ba", "Si", "Ba", "Ba", "Ba", "H", "H", "Ba"],
  "frac_coords": [[0.3262, 0.2425, 0.1050], [0.6608, 0.2659, 0.4126], [0.0000, 0.5000, 0.5000], [0.0146, 0.2177, 0.7531], [0.9854, 0.7823, 0.2469], [0.3392, 0.7341, 0.5874], [0.1758, 0.8553, 0.7931], [0.8242, 0.1447, 0.2069], [0.6738, 0.7575, 0.8950]]
}



2.
{
  "formula": "AcTl2Hg2",
  "functional": "PBE",
  "state": "relaxed",
  "e_tot_ev_per_cell": -21.06,
  "magmom_total_mub_per_atom": 0.000,
  "cell": [[5.1201, 0.0000, 0.0000], [0.0000, 3.8048, 0.0000], [-2.5600, -1.9024, 16.0962]],
  "species": ["Ac", "Ac", "Hg", "Tl", "Tl", "Hg", "Tl", "Hg", "Hg", "Tl"],
  "frac_coords": [[0.1800, 0.4300, 0.3601], [0.8200, 0.5700, 0.6399], [0.2727, 0.0227, 0.5454], [0.4569, 0.7069, 0.9139], [0.5431, 0.2931, 0.0861], [0.6332, 0.8832, 0.2664], [0.0771, 0.8271, 0.1543], [0.3668, 0.1168, 0.7336], [0.7273, 0.9773, 0.4546], [0.9229, 0.1729, 0.8457]]
}